Entry 1:
Density functional theory data (GGA-PBE) for a geometry-optimized In2SbPt structure.

The total energy is -15.44 eV for the cell shown. The uncorrected formation energy is 0.0504 eV/atom.

a b c (Å): 4.9890 4.9890 3.8063
angles (deg): 90.00 90.00 106.97
Positions (direct):
In: 0.0000 0.0000 0.0000
Pt: 0.5000 0.0000 0.5000
In: 0.5000 0.5000 0.0000
Sb: 0.0000 0.5000 0.5000


Entry 2:
Density functional theory data (GGA-PBE) for a geometry-optimized In2SbPt structure.

The total energy is -16.31 eV for the cell shown. The uncorrected formation energy is -0.1664 eV/atom.

a b c (Å): 6.9104 6.9104 6.9104
angles (deg): 151.53 142.10 48.07
Positions (direct):
Sb: 0.3158 0.8158 0.5000
In: 0.6877 0.1877 0.5000
In: 0.0020 0.0020 0.0000
Pt: 0.4944 0.4944 0.0000


Entry 3:
Density functional theory data (GGA-PBE) for a geometry-optimized In2SbPt2 structure.

The total energy is -46.47 eV for the cell shown. The uncorrected formation energy is -0.3112 eV/atom.

a b c (Å): 8.0825 8.0825 3.0921
angles (deg): 90.00 90.00 90.00
Positions (direct):
Pt: 0.6561 0.1561 0.0000
Sb: 0.5000 0.5000 0.0000
In: 0.3582 0.1418 0.5000
In: 0.8582 0.3582 0.5000
Sb: 0.0000 0.0000 0.0000
Pt: 0.1561 0.3439 0.0000
In: 0.6418 0.8582 0.5000
In: 0.1418 0.6418 0.5000
Pt: 0.8439 0.6561 0.0000
Pt: 0.3439 0.8439 0.0000


Entry 4:
Density functional theory data (GGA-PBE) for a geometry-optimized InSbPt structure.

The total energy is -13.69 eV for the cell shown. The uncorrected formation energy is -0.2640 eV/atom.

a b c (Å): 3.8847 3.8847 5.5131
angles (deg): 90.00 90.00 120.00
Positions (direct):
Sb: 0.6667 0.3333 0.6093
Pt: 0.3333 0.6667 0.3458
In: 0.0000 0.0000 0.0449


Entry 5:
Density functional theory data (GGA-PBE) for a geometry-optimized In2SbPt2 structure.

The total energy is -22.61 eV for the cell shown. The uncorrected formation energy is -0.1860 eV/atom.

a b c (Å): 4.1327 4.1327 6.9493
angles (deg): 72.70 72.70 90.00
Positions (direct):
Pt: 0.6062 0.6062 0.7876
In: 0.2500 0.7500 0.5000
Pt: 0.3938 0.3938 0.2124
Sb: 0.0000 0.0000 0.0000
In: 0.7500 0.2500 0.5000


Entry 6:
Density functional theory data (GGA-PBE) for a geometry-optimized In2SbPt structure.

The total energy is -16.07 eV for the cell shown. The uncorrected formation energy is -0.1076 eV/atom.

a b c (Å): 7.2732 7.2732 7.2732
angles (deg): 32.52 32.52 32.52
Positions (direct):
In: 0.9855 0.9855 0.9855
Pt: 0.2500 0.2500 0.2500
In: 0.5145 0.5145 0.5145
Sb: 0.7500 0.7500 0.7500


Entry 7:
Density functional theory data (GGA-PBE) for a geometry-optimized InSb2Pt2 structure.

The total energy is -23.81 eV for the cell shown. The uncorrected formation energy is -0.1500 eV/atom.

a b c (Å): 4.9350 4.9350 6.0562
angles (deg): 65.96 65.96 90.00
Positions (direct):
Pt: 0.6344 0.6344 0.7313
Sb: 0.2500 0.7500 0.5000
Sb: 0.7500 0.2500 0.5000
In: 0.0000 0.0000 0.0000
Pt: 0.3656 0.3656 0.2687


Entry 8:
Density functional theory data (GGA-PBE) for a geometry-optimized In3SbPt12 structure.

The total energy is -90.44 eV for the cell shown. The uncorrected formation energy is -0.3508 eV/atom.

a b c (Å): 4.0533 4.0533 16.2341
angles (deg): 90.00 90.00 90.00
Positions (direct):
In: 0.0000 0.0000 0.2534
Pt: 0.5000 0.5000 0.7500
Pt: 0.0000 0.5000 0.3758
Pt: 0.0000 0.5000 0.8742
Pt: 0.5000 0.5000 0.5000
Pt: 0.5000 0.0000 0.8742
Pt: 0.0000 0.5000 0.1258
Pt: 0.5000 0.5000 0.0000
Pt: 0.5000 0.0000 0.1258
Sb: 0.0000 0.0000 0.0000
Pt: 0.5000 0.5000 0.2500
In: 0.0000 0.0000 0.5000
Pt: 0.5000 0.0000 0.6242
In: 0.0000 0.0000 0.7466
Pt: 0.5000 0.0000 0.3758
Pt: 0.0000 0.5000 0.6242